Entry 1:
Computed, not measured: a geometry-optimized CuAgPt2 structure at the PBEsol level of DFT.

Cell: 2.7581 4.6037 5.3239 Å, 115.62 105.01 90.00°
Positions (direct):
Pt  0.7364  0.7364  0.4728
Pt  0.2636  0.2636  0.5272
Cu  0.0000  0.5000  0.0000
Ag  0.5000  0.0000  0.0000

Values from the calculation:
Its formation enthalpy at 0 K is -0.0478 eV/atom.

Entry 2:
Computed, not measured: a geometry-optimized VP2O7 structure at the PBEsol level of DFT.

Cell: 4.4949 5.0618 5.0618 Å, 99.83 97.90 97.90°
Each line ends with the local moment (μB).
Positions (direct):
P  0.5886  0.3341  0.2630  0.01
P  0.4114  0.7370  0.6659  0.01
O  0.7080  0.9207  0.8102  -0.01
O  0.5000  0.4477  0.5523  0.00
O  0.1873  0.6746  0.8582  -0.02
O  0.2676  0.8468  0.4266  -0.01
O  0.7324  0.5734  0.1532  -0.01
O  0.8127  0.1418  0.3254  -0.02
O  0.2920  0.1898  0.0793  -0.01
V  0.0000  0.8870  0.1130  1.00

Values from the calculation:
The calculation puts the raw formation energy at -2.21 eV/atom.

| no. | energy above the lowest structure with this stoichiometry (meV per atom) |
| --- | --- |
| 1 | 50 |
| 2 | 18 |